Nd2Ho17 (GGA-PBE, optimized geometry); space-group type = R-3m, No. 166; calculated formation energy = 279 meV/atom; DFT total energy = -4.3184 eV per atom; V = 33.2 Å³/atom
1.0
-7.1756 -0.6732 4.8615
3.3148 -3.9225 7.0145
1.0676 6.8886 5.1946
Ho Nd
17 2
Direct
0.6329 0.6329 0.1483
0.2977 0.0000 0.7023
0.0000 0.7023 0.2977
0.5000 0.0000 0.0000
0.0000 0.2977 0.7023
0.1483 0.6329 0.6329
0.0971 0.0971 0.0971
0.8517 0.3671 0.3671
0.7023 0.0000 0.2977
0.9029 0.9029 0.9029
0.6329 0.1483 0.6329
0.0000 0.5000 0.0000
0.3671 0.3671 0.8517
0.7023 0.2977 0.0000
0.3671 0.8517 0.3671
0.0000 0.0000 0.5000
0.2977 0.7023 0.0000
0.6725 0.6725 0.6725
0.3275 0.3275 0.3275